! Ho3Te2P PBE optimized geometry; values from VASP
! * formation energy (no corrections): -1454 meV/atom
! * relative energy among the computed polymorphs: 0.0 meV per atom
&SYSTEM
  ibrav = 0, nat = 12, ntyp = 3
/
ATOMIC_SPECIES
Ho 164.93 Ho.upf
P 30.97 P.upf
Te 127.60 Te.upf
ATOMIC_POSITIONS crystal
Ho 0.926 0.218 0.641
Ho 0.289 0.212 0.000
Ho 0.567 0.218 0.359
Ho 0.433 0.782 0.641
Ho 0.711 0.788 0.000
Ho 0.074 0.782 0.359
P 0.332 0.000 0.337
P 0.668 0.000 0.663
Te 0.500 0.500 0.000
Te 0.000 0.000 0.000
Te 0.842 0.500 0.316
Te 0.158 0.500 0.684
CELL_PARAMETERS angstrom
6.440 -0.325 3.339
2.426 6.910 1.258
0.332 -0.163 7.239


! TlAuBr2 PBE optimized geometry; values from VASP
! * formation energy (no corrections): -297 meV/atom
! * relative energy among the computed polymorphs: 184.5 meV per atom
&SYSTEM
  ibrav = 0, nat = 4, ntyp = 3
/
ATOMIC_SPECIES
Au 196.97 Au.upf
Tl 204.38 Tl.upf
Br 79.90 Br.upf
ATOMIC_POSITIONS crystal
Au 0.750 0.750 0.750
Tl 0.250 0.250 0.250
Br 0.016 0.016 0.016
Br 0.484 0.484 0.484
CELL_PARAMETERS angstrom
-2.924 0.651 -6.990
-1.452 -3.481 -6.603
-5.341 -2.359 -4.872


! TbFeCo PBE optimized geometry; values from VASP
! * relative energy among the computed polymorphs: 45.8 meV per atom
! * energy relative to the elements: -0.0991 eV/atom
&SYSTEM
  ibrav = 0, nat = 3, ntyp = 3
/
ATOMIC_SPECIES
Fe 55.84 Fe.upf
Tb 158.93 Tb.upf
Co 58.93 Co.upf
ATOMIC_POSITIONS crystal
Fe 0.167 0.333 0.667
Tb 0.667 0.667 0.333
Co 0.167 0.000 0.000
CELL_PARAMETERS angstrom
-3.332 1.609 -1.760
-1.928 -3.287 0.646
-0.039 2.816 2.648


! V3ReGe6 PBE optimized geometry; values from VASP
! * energy relative to the elements: 0.1311 eV/atom
&SYSTEM
  ibrav = 0, nat = 20, ntyp = 3
/
ATOMIC_SPECIES
Ge 72.64 Ge.upf
V 50.94 V.upf
Re 186.21 Re.upf
ATOMIC_POSITIONS crystal
Ge 0.351 0.019 0.107
Ge 0.518 0.847 0.404
Ge 0.482 0.153 0.596
Ge 0.153 0.596 0.482
Ge 0.019 0.107 0.351
Ge 0.847 0.404 0.518
Ge 0.981 0.893 0.649
Ge 0.893 0.649 0.981
Ge 0.596 0.482 0.153
Ge 0.649 0.981 0.893
Ge 0.107 0.351 0.019
Ge 0.404 0.518 0.847
V 0.859 0.754 0.336
V 0.141 0.246 0.664
V 0.246 0.664 0.141
V 0.664 0.141 0.246
V 0.336 0.859 0.754
V 0.754 0.336 0.859
Re 0.500 0.500 0.500
Re 0.000 0.000 0.000
CELL_PARAMETERS angstrom
-3.327 -1.247 -6.014
-5.806 -1.434 3.609
-1.766 6.750 -0.324


! Mg14NbMo PBE optimized geometry; values from VASP
! * relative energy among the computed polymorphs: 37.6 meV per atom
! * energy relative to the elements: 0.1718 eV/atom
&SYSTEM
  ibrav = 0, nat = 16, ntyp = 3
/
ATOMIC_SPECIES
Mg 24.30 Mg.upf
Mo 95.94 Mo.upf
Nb 92.91 Nb.upf
ATOMIC_POSITIONS crystal
Mg 0.158 0.315 0.254
Mg 0.158 0.315 0.746
Mg 0.685 0.842 0.254
Mg 0.000 0.500 0.500
Mg 0.497 0.503 0.000
Mg 0.667 0.333 0.755
Mg 0.667 0.333 0.245
Mg 0.500 0.000 0.500
Mg 0.685 0.842 0.746
Mg 0.500 0.500 0.500
Mg 0.005 0.503 0.000
Mg 0.158 0.842 0.254
Mg 0.497 0.995 0.000
Mg 0.158 0.842 0.746
Mo 0.000 0.000 0.500
Nb 0.000 0.000 0.000
CELL_PARAMETERS angstrom
-4.215 1.197 -4.489
-1.879 -2.238 5.551
-0.989 9.249 3.394


! KSr2Mo PBE optimized geometry; values from VASP
! * relative energy among the computed polymorphs: 658.7 meV per atom
! * energy relative to the elements: 1.4140 eV/atom
&SYSTEM
  ibrav = 0, nat = 8, ntyp = 3
/
ATOMIC_SPECIES
Sr 87.62 Sr.upf
K 39.10 K.upf
Mo 95.94 Mo.upf
ATOMIC_POSITIONS crystal
Sr 0.878 0.125 0.250
Sr 0.872 0.625 0.250
Sr 0.875 0.128 0.750
Sr 0.375 0.122 0.750
K 0.250 0.750 0.500
K 0.500 0.500 0.000
Mo 0.750 0.250 0.500
Mo 0.000 0.000 0.000
CELL_PARAMETERS angstrom
-1.039 8.589 0.319
-6.626 -1.005 5.482
0.029 4.084 7.621


! LaPm3ErTm PBE optimized geometry; values from VASP
! * energy relative to the elements: 0.0293 eV/atom
&SYSTEM
  ibrav = 0, nat = 12, ntyp = 4
/
ATOMIC_SPECIES
Tm 168.93 Tm.upf
Pm 145.00 Pm.upf
La 138.91 La.upf
Er 167.26 Er.upf
ATOMIC_POSITIONS crystal
Tm 0.750 0.873 0.374
Tm 0.250 0.127 0.626
Pm 0.750 0.870 0.042
Pm 0.750 0.373 0.544
Pm 0.250 0.622 0.793
Pm 0.250 0.130 0.958
Pm 0.750 0.378 0.207
Pm 0.250 0.627 0.456
La 0.250 0.122 0.292
La 0.750 0.878 0.708
Er 0.750 0.378 0.876
Er 0.250 0.622 0.124
CELL_PARAMETERS angstrom
-3.924 1.293 3.060
-5.162 -3.355 -5.202
3.892 -6.498 7.738


! InAg2 PBE optimized geometry; values from VASP
! * energy relative to the elements: 0.1491 eV/atom
&SYSTEM
  ibrav = 0, nat = 3, ntyp = 2
/
ATOMIC_SPECIES
Ag 107.87 Ag.upf
In 114.82 In.upf
ATOMIC_POSITIONS crystal
Ag 0.000 0.500 0.500
Ag 0.500 0.000 0.500
In 0.000 0.000 0.000
CELL_PARAMETERS angstrom
-2.200 -4.175 1.110
3.135 -0.686 3.634
-1.864 1.484 1.888


! ZnCoPt4 PBE optimized geometry; values from VASP
! * relative energy among the computed polymorphs: 0.0 meV per atom
! * energy relative to the elements: -0.2562 eV/atom
&SYSTEM
  ibrav = 0, nat = 6, ntyp = 3
/
ATOMIC_SPECIES
Co 58.93 Co.upf
Pt 195.08 Pt.upf
Zn 65.41 Zn.upf
ATOMIC_POSITIONS crystal
Co 0.500 0.500 0.500
Pt 0.500 0.500 0.162
Pt 0.500 0.500 0.838
Pt 0.000 0.000 0.345
Pt 0.000 0.000 0.655
Zn 0.000 0.000 0.000
CELL_PARAMETERS angstrom
2.763 0.000 0.000
0.000 2.763 0.000
0.000 0.000 11.467


! Mg2TlHIr PBE optimized geometry; values from VASP
! * E: -18.34 eV for the cell shown
&SYSTEM
  ibrav = 0, nat = 5, ntyp = 4
/
ATOMIC_SPECIES
Ir 192.22 Ir.upf
Mg 24.30 Mg.upf
H 1.01 H.upf
Tl 204.38 Tl.upf
ATOMIC_POSITIONS crystal
Ir 0.000 0.000 0.500
Mg 0.500 0.000 0.000
Mg 0.000 0.500 0.000
H 0.000 0.000 0.000
Tl 0.500 0.500 0.500
CELL_PARAMETERS angstrom
-1.612 -1.860 -3.896
-0.289 -4.103 2.078
-3.390 0.764 1.038


! GdScNiAg PBE optimized geometry; values from VASP
! * energy relative to the elements: -0.2673 eV/atom
&SYSTEM
  ibrav = 0, nat = 4, ntyp = 4
/
ATOMIC_SPECIES
Gd 157.25 Gd.upf
Ag 107.87 Ag.upf
Ni 58.69 Ni.upf
Sc 44.96 Sc.upf
ATOMIC_POSITIONS crystal
Gd 0.000 0.000 0.000
Ag 0.250 0.250 0.250
Ni 0.750 0.750 0.750
Sc 0.500 0.500 0.500
CELL_PARAMETERS angstrom
4.869 0.000 0.000
2.435 4.217 0.000
2.435 1.406 3.976


! Pm6ZnPt2 PBE optimized geometry; values from VASP
! * energy relative to the elements: -0.4689 eV/atom
&SYSTEM
  ibrav = 0, nat = 9, ntyp = 3
/
ATOMIC_SPECIES
Zn 65.41 Zn.upf
Pt 195.08 Pt.upf
Pm 145.00 Pm.upf
ATOMIC_POSITIONS crystal
Zn 0.000 0.000 0.000
Pt 0.667 0.667 0.334
Pt 0.333 0.333 0.666
Pm 0.831 0.084 0.663
Pm 0.500 0.261 0.000
Pm 0.500 0.739 0.000
Pm 0.169 0.916 0.337
Pm 0.831 0.579 0.663
Pm 0.169 0.421 0.337
CELL_PARAMETERS angstrom
-4.641 1.734 0.541
-1.429 -1.721 -6.748
0.731 -6.858 5.339


no.,M_tot (Bohr magnetons per cell)
1,0.00
2,0.00
3,2.30
4,10.18
5,1.27
6,2.47
7,0.00
8,0.00
9,2.62
10,0.00
11,7.17
12,0.00